Entry P
# Cu3GeTe4 (PBE-GGA, relaxed)
# size of the total moment	0.0	μB per formula unit
data_Cu3GeTe4
_cell_length_a 8.387
_cell_length_b 7.292
_cell_length_c 7.032
_cell_angle_alpha 90.00
_cell_angle_beta 90.00
_cell_angle_gamma 90.00
_symmetry_space_group_name_H-M 'P m n 21'
_symmetry_Int_Tables_number 31
_symmetry_space_group_name_Hall 'P 2ac -2'
loop_
_atom_site_label
_atom_site_type_symbol
_atom_site_fract_x
_atom_site_fract_y
_atom_site_fract_z
Cu1 Cu 0.000 0.165 0.000
Cu2 Cu 0.250 0.332 0.498
Ge1 Ge 0.000 0.836 0.499
Te1 Te 0.000 0.177 0.635
Te2 Te 0.000 0.832 0.118
Te3 Te 0.244 0.340 0.133

***

Entry Q
# Cu3GeTe4 (PBE-GGA, relaxed)
# size of the total moment	0.0	μB per formula unit
data_Cu3GeTe4
_cell_length_a 8.474
_cell_length_b 7.410
_cell_length_c 7.500
_cell_angle_alpha 90.00
_cell_angle_beta 90.00
_cell_angle_gamma 90.00
_symmetry_space_group_name_H-M 'P m n 21'
_symmetry_Int_Tables_number 31
_symmetry_space_group_name_Hall 'P 2ac -2'
loop_
_atom_site_label
_atom_site_type_symbol
_atom_site_fract_x
_atom_site_fract_y
_atom_site_fract_z
Cu1 Cu 0.000 0.182 0.000
Cu2 Cu 0.236 0.340 0.504
Ge1 Ge 0.000 0.835 0.301
Te1 Te 0.000 0.198 0.347
Te2 Te 0.000 0.834 0.946
Te3 Te 0.230 0.353 0.852

***

entry P takes first place; second place is 84 meV/atom up.

***

Entry P
# Cu2GeTe (PBE-GGA, relaxed)
# size of the total moment	0.0	μB per formula unit
data_Cu2GeTe
_cell_length_a 6.604
_cell_length_b 6.604
_cell_length_c 6.604
_cell_angle_alpha 90.00
_cell_angle_beta 90.00
_cell_angle_gamma 90.00
_symmetry_space_group_name_H-M 'F m -3 m'
_symmetry_Int_Tables_number 225
_symmetry_space_group_name_Hall '-F 4 2 3'
loop_
_atom_site_label
_atom_site_type_symbol
_atom_site_fract_x
_atom_site_fract_y
_atom_site_fract_z
Cu1 Cu 0.250 0.250 0.250
Ge1 Ge 0.000 0.000 0.000
Te1 Te 0.000 0.000 0.500

***

Entry Q
# Cu2GeTe (PBE-GGA, relaxed)
# size of the total moment	0.0	μB per formula unit
data_Cu2GeTe
_cell_length_a 6.248
_cell_length_b 6.248
_cell_length_c 9.102
_cell_angle_alpha 90.00
_cell_angle_beta 90.00
_cell_angle_gamma 90.00
_symmetry_space_group_name_H-M 'I -4 2 d'
_symmetry_Int_Tables_number 122
_symmetry_space_group_name_Hall 'I -4 2bw'
loop_
_atom_site_label
_atom_site_type_symbol
_atom_site_fract_x
_atom_site_fract_y
_atom_site_fract_z
Cu1 Cu 0.232 0.250 0.125
Ge1 Ge 0.000 0.000 0.000
Te1 Te 0.000 0.000 0.500

***

entry Q takes first place; second place is 71 meV/atom up.

***

Entry P
# CuGe2Te2 (PBE-GGA, relaxed)
# size of the total moment	0.0	μB per formula unit
data_CuGe2Te2
_cell_length_a 7.604
_cell_length_b 7.604
_cell_length_c 4.094
_cell_angle_alpha 90.00
_cell_angle_beta 90.00
_cell_angle_gamma 90.00
_symmetry_space_group_name_H-M 'P 4/m b m'
_symmetry_Int_Tables_number 127
_symmetry_space_group_name_Hall '-P 4 2ab'
loop_
_atom_site_label
_atom_site_type_symbol
_atom_site_fract_x
_atom_site_fract_y
_atom_site_fract_z
Cu1 Cu 0.000 0.000 0.000
Ge1 Ge 0.149 0.351 0.000
Te1 Te 0.174 0.674 0.500

***

Entry Q
# CuGe2Te2 (PBE-GGA, relaxed)
# size of the total moment	0.0	μB per formula unit
data_CuGe2Te2
_cell_length_a 5.679
_cell_length_b 5.679
_cell_length_c 7.590
_cell_angle_alpha 90.00
_cell_angle_beta 90.00
_cell_angle_gamma 90.00
_symmetry_space_group_name_H-M 'I 4/m m m'
_symmetry_Int_Tables_number 139
_symmetry_space_group_name_Hall '-I 4 2'
loop_
_atom_site_label
_atom_site_type_symbol
_atom_site_fract_x
_atom_site_fract_y
_atom_site_fract_z
Cu1 Cu 0.000 0.000 0.000
Ge1 Ge 0.000 0.000 0.325
Te1 Te 0.000 0.500 0.250

***

entry Q takes first place; second place is 82 meV/atom up.

***

Entry P
# Th2CuGe (PBE-GGA, relaxed)
# size of the total moment	0.0	μB per formula unit
data_Th2CuGe
_cell_length_a 6.027
_cell_length_b 4.078
_cell_length_c 8.465
_cell_angle_alpha 90.00
_cell_angle_beta 110.51
_cell_angle_gamma 90.00
_symmetry_space_group_name_H-M 'P 1 21/m 1'
_symmetry_Int_Tables_number 11
_symmetry_space_group_name_Hall '-P 2yb'
loop_
_atom_site_label
_atom_site_type_symbol
_atom_site_fract_x
_atom_site_fract_y
_atom_site_fract_z
Th1 Th 0.210 0.250 0.413
Th2 Th 0.215 0.250 0.940
Cu1 Cu 0.379 0.750 0.220
Ge1 Ge 0.344 0.750 0.708

***

Entry Q
# Th2CuGe (PBE-GGA, relaxed)
# size of the total moment	0.0	μB per formula unit
data_Th2CuGe
_cell_length_a 4.950
_cell_length_b 4.950
_cell_length_c 3.899
_cell_angle_alpha 90.00
_cell_angle_beta 90.00
_cell_angle_gamma 90.00
_symmetry_space_group_name_H-M 'P 4/m m m'
_symmetry_Int_Tables_number 123
_symmetry_space_group_name_Hall '-P 4 2'
loop_
_atom_site_label
_atom_site_type_symbol
_atom_site_fract_x
_atom_site_fract_y
_atom_site_fract_z
Th1 Th 0.000 0.500 0.000
Cu1 Cu 0.000 0.000 0.500
Ge1 Ge 0.500 0.500 0.500

***

entry P takes first place; second place is 123 meV/atom up.

***

Entry P
# Th2CuGe3 (PBE-GGA, relaxed)
# size of the total moment	0.0	μB per formula unit
data_Th2CuGe3
_cell_length_a 4.184
_cell_length_b 4.349
_cell_length_c 7.183
_cell_angle_alpha 90.00
_cell_angle_beta 90.00
_cell_angle_gamma 90.00
_symmetry_space_group_name_H-M 'P m m 2'
_symmetry_Int_Tables_number 25
_symmetry_space_group_name_Hall 'P 2 -2'
loop_
_atom_site_label
_atom_site_type_symbol
_atom_site_fract_x
_atom_site_fract_y
_atom_site_fract_z
Th1 Th 0.000 0.000 0.000
Th2 Th 0.000 0.500 0.490
Cu1 Cu 0.500 0.500 0.820
Ge1 Ge 0.500 0.000 0.326
Ge2 Ge 0.500 0.000 0.674
Ge3 Ge 0.500 0.500 0.151

***

Entry Q
# Th2CuGe3 (PBE-GGA, relaxed)
# size of the total moment	0.0	μB per formula unit
data_Th2CuGe3
_cell_length_a 8.298
_cell_length_b 8.361
_cell_length_c 15.065
_cell_angle_alpha 90.00
_cell_angle_beta 90.00
_cell_angle_gamma 90.00
_symmetry_space_group_name_H-M 'F m m m'
_symmetry_Int_Tables_number 69
_symmetry_space_group_name_Hall '-F 2 2'
loop_
_atom_site_label
_atom_site_type_symbol
_atom_site_fract_x
_atom_site_fract_y
_atom_site_fract_z
Th1 Th 0.242 0.000 0.000
Th2 Th 0.250 0.250 0.250
Cu1 Cu 0.000 0.000 0.336
Ge1 Ge 0.000 0.000 0.178
Ge2 Ge 0.000 0.244 0.414

***

entry Q takes first place; second place is 6 meV/atom up.

***

Entry P
# ThCu4Ge2 (PBE-GGA, relaxed)
# size of the total moment	0.0	μB per formula unit
data_ThCu4Ge2
_cell_length_a 7.532
_cell_length_b 7.532
_cell_length_c 4.019
_cell_angle_alpha 90.00
_cell_angle_beta 90.00
_cell_angle_gamma 90.00
_symmetry_space_group_name_H-M 'P 42/m n m'
_symmetry_Int_Tables_number 136
_symmetry_space_group_name_Hall '-P 4n 2n'
loop_
_atom_site_label
_atom_site_type_symbol
_atom_site_fract_x
_atom_site_fract_y
_atom_site_fract_z
Th1 Th 0.000 0.000 0.000
Cu1 Cu 0.089 0.347 0.500
Ge1 Ge 0.216 0.784 0.500

***

Entry Q
# ThCu4Ge2 (PBE-GGA, relaxed)
# size of the total moment	0.0	μB per formula unit
data_ThCu4Ge2
_cell_length_a 4.1859
_cell_length_b 4.1859
_cell_length_c 22.7504
_cell_angle_alpha 90.00
_cell_angle_beta 90.00
_cell_angle_gamma 120.00
_symmetry_space_group_name_H-M 'R -3 m'
_symmetry_Int_Tables_number 166
_symmetry_space_group_name_Hall '-R 3 2"'
loop_
_atom_site_label
_atom_site_type_symbol
_atom_site_fract_x
_atom_site_fract_y
_atom_site_fract_z
Th1 Th 0.0000 0.0000 0.0000
Cu1 Cu 0.0000 0.0000 0.1420
Cu2 Cu 0.0000 0.0000 0.4369
Ge1 Ge 0.0000 0.0000 0.2512

***

entry Q takes first place; second place is 6 meV/atom up.